Here is a relaxed Ho3Mg9Pd2 crystal from Alexandria. Energies are from PBE.

Cell and atoms, written as CIF:
```
data_Ho3Mg9Pd2
_chemical_formula_sum 'Ho6 Mg18 Pd4'
_cell_length_a 4.907
_cell_length_b 10.833
_cell_length_c 12.057
_cell_angle_alpha 90.00
_cell_angle_beta 90.00
_cell_angle_gamma 90.00
_symmetry_space_group_name_H-M 'I m m m'
_symmetry_Int_Tables_number 71
_symmetry_space_group_name_Hall '-I 2 2'
loop_
_atom_site_label
_atom_site_type_symbol
_atom_site_fract_x
_atom_site_fract_y
_atom_site_fract_z
_atom_site_occupancy
Ho1 Ho 0.000 0.000 0.000 1
Ho2 Ho 0.000 0.000 0.297 1
Mg1 Mg 0.000 0.278 0.132 1
Mg2 Mg 0.000 0.364 0.369 1
Mg3 Mg 0.000 0.500 0.000 1
Pd1 Pd 0.000 0.150 0.500 1
```

Properties
Magnetization (μB per cell): 0.0
Total energy (eV for the cell shown): -83.50
N(E_F) (states/eV per cell): 24.0

***

Here is a relaxed YTlCd2 crystal from Alexandria. Energies are from PBE.

Cell and atoms, written as CIF:
```
data_YTlCd2
_chemical_formula_sum 'Y1 Tl1 Cd2'
_cell_length_a 3.893
_cell_length_b 3.893
_cell_length_c 6.893
_cell_angle_alpha 90.00
_cell_angle_beta 90.00
_cell_angle_gamma 90.00
_symmetry_space_group_name_H-M 'P 4/m m m'
_symmetry_Int_Tables_number 123
_symmetry_space_group_name_Hall '-P 4 2'
loop_
_atom_site_label
_atom_site_type_symbol
_atom_site_fract_x
_atom_site_fract_y
_atom_site_fract_z
_atom_site_occupancy
Y1 Y 0.000 0.000 0.000 1
Tl1 Tl 0.000 0.000 0.500 1
Cd1 Cd 0.500 0.500 0.247 1
```

Properties
Relative energy among the computed polymorphs (kJ/mol of formula units): 43.4
Magnetization (μB per cell): 0.3
N(E_F) (states/eV per cell): 2.6

***

Repeat the second record exactly.
Here is a relaxed YTlCd2 crystal from Alexandria. Energies are from PBE.

Cell and atoms, written as CIF:
```
data_YTlCd2
_chemical_formula_sum 'Y1 Tl1 Cd2'
_cell_length_a 3.893
_cell_length_b 3.893
_cell_length_c 6.893
_cell_angle_alpha 90.00
_cell_angle_beta 90.00
_cell_angle_gamma 90.00
_symmetry_space_group_name_H-M 'P 4/m m m'
_symmetry_Int_Tables_number 123
_symmetry_space_group_name_Hall '-P 4 2'
loop_
_atom_site_label
_atom_site_type_symbol
_atom_site_fract_x
_atom_site_fract_y
_atom_site_fract_z
_atom_site_occupancy
Y1 Y 0.000 0.000 0.000 1
Tl1 Tl 0.000 0.000 0.500 1
Cd1 Cd 0.500 0.500 0.247 1
```

Properties
Relative energy among the computed polymorphs (kJ/mol of formula units): 43.4
Magnetization (μB per cell): 0.3
N(E_F) (states/eV per cell): 2.6